Computed, not measured: a relaxed Y4AlAg3 crystal at the GGA-PBE level of DFT.

Summary:
SG	P4/mmm, No. 123
total DFT energy (no corrections)	-5.124	eV per atom
size of the total moment	0.00	Bohr magnetons per cell
energy above the lowest structure with this stoichiometry	0.0	meV/atom
ΔH_f (0 K)	-355	meV per atom

Unit cell a=3.598 b=3.598 c=14.887 alpha=90.00 beta=90.00 gamma=90.00
Fractional coordinates of all 8 atoms:
Y 0.000 0.000 0.626
Ag 0.500 0.500 0.249
Y 0.000 0.000 0.374
Y 0.000 0.000 0.875
Ag 0.500 0.500 0.751
Ag 0.500 0.500 0.500
Y 0.000 0.000 0.125
Al 0.500 0.500 0.000